Here is a relaxed structure of ZrTlCuPt from OQMD. Energies are from PBE-GGA.

Cell: 4.665 4.665 4.665 Å, 60.00 60.00 60.00°
Positions (direct):
Zr 0.000 0.000 0.000
Tl 0.750 0.750 0.750
Cu 0.250 0.250 0.250
Pt 0.500 0.500 0.500

Computed properties:
Space group: F-43m (216)

---

Here is a relaxed structure of ZrF4 from OQMD. Energies are from PBE-GGA.

Cell: 4.675 4.675 4.675 Å, 128.15 128.15 76.38°
Positions (direct):
Zr 0.000 0.000 0.000
F 0.000 0.500 0.500
F 0.268 0.268 0.000
F 0.500 0.000 0.500
F 0.732 0.732 0.000

Computed properties:
Space group: I4/mmm (139)

---

Here is a relaxed structure of PmPrNO from OQMD. Energies are from PBE-GGA.

Cell: 8.412 7.037 5.141 Å, 90.00 90.00 90.00°
Positions (direct):
Pm 0.124 0.084 0.250
Pm 0.124 0.416 0.750
Pm 0.876 0.584 0.250
Pm 0.876 0.916 0.750
Pr 0.375 0.573 0.250
Pr 0.375 0.927 0.750
Pr 0.625 0.073 0.250
Pr 0.625 0.427 0.750
N 0.122 0.076 0.750
N 0.122 0.424 0.250
N 0.878 0.576 0.750
N 0.878 0.924 0.250
O 0.365 0.590 0.750
O 0.365 0.910 0.250
O 0.635 0.090 0.750
O 0.635 0.410 0.250

Computed properties:
Space group: Pbcm (57)

---

Here is a relaxed structure of PrSe2 from OQMD. Energies are from PBE-GGA.

Cell: 4.406 4.406 23.975 Å, 90.00 90.00 120.01°
Positions (direct):
Pr 0.099 0.395 0.377
Pr 0.395 0.099 0.623
Pr 0.605 0.901 0.123
Pr 0.901 0.605 0.877
Se 0.231 0.274 0.817
Se 0.241 0.265 0.948
Se 0.265 0.241 0.052
Se 0.274 0.231 0.183
Se 0.726 0.769 0.683
Se 0.735 0.759 0.552
Se 0.759 0.735 0.448
Se 0.769 0.726 0.317

Computed properties:
Space group: C222_1 (20)

---

Here is a relaxed structure of Dy2Tl8Co from OQMD. Energies are from PBE-GGA.

Cell: 4.736 4.736 12.603 Å, 90.00 90.00 90.00°
Positions (direct):
Dy 0.000 0.000 0.198
Dy 0.000 0.000 0.802
Tl 0.000 0.500 0.000
Tl 0.000 0.500 0.380
Tl 0.000 0.500 0.620
Tl 0.500 0.000 0.000
Tl 0.500 0.000 0.380
Tl 0.500 0.000 0.620
Tl 0.500 0.500 0.188
Tl 0.500 0.500 0.812
Co 0.000 0.000 0.500

Computed properties:
Space group: P4/mmm (123)

---

Here is a relaxed structure of Nb4TlNiN2 from OQMD. Energies are from PBE-GGA.

Cell: 3.187 3.187 13.433 Å, 90.00 90.00 120.00°
Positions (direct):
Nb 0.000 0.000 0.142
Nb 0.000 0.000 0.858
Nb 0.667 0.333 0.317
Nb 0.667 0.333 0.683
Tl 0.000 0.000 0.500
Ni 0.667 0.333 0.000
N 0.333 0.667 0.229
N 0.333 0.667 0.771

Computed properties:
Space group: P-6m2 (187)

---

Here is a relaxed structure of LuScFeGe2 from OQMD. Energies are from PBE-GGA.

Cell: 5.497 5.497 9.785 Å, 116.58 116.58 44.04°
Positions (direct):
Lu 0.000 0.000 0.172
Lu 0.000 0.000 0.828
Sc 0.181 0.181 0.608
Sc 0.819 0.819 0.392
Fe 0.275 0.275 0.130
Fe 0.725 0.725 0.870
Ge 0.347 0.347 0.928
Ge 0.485 0.485 0.623
Ge 0.515 0.515 0.377
Ge 0.653 0.653 0.072

Computed properties:
Space group: C2/m (12)

---

Here is a relaxed structure of CdH from OQMD. Energies are from PBE-GGA.

Cell: 3.461 3.461 3.461 Å, 60.00 60.00 60.00°
Positions (direct):
Cd 0.000 0.000 0.000
H 0.750 0.750 0.750

Computed properties:
Space group: F-43m (216)

---

Here is a relaxed structure of Sm4PO3 from OQMD. Energies are from PBE-GGA.

Cell: 6.317 6.317 6.317 Å, 131.04 131.04 71.75°
Positions (direct):
Sm 0.000 0.500 0.500
Sm 0.238 0.238 0.000
Sm 0.500 0.000 0.500
Sm 0.762 0.762 0.000
P 0.500 0.500 0.000
O 0.000 0.000 0.000
O 0.250 0.750 0.500
O 0.750 0.250 0.500

Computed properties:
Space group: I4/mmm (139)

---

Here is a relaxed structure of LuMgFeAs from OQMD. Energies are from PBE-GGA.

Cell: 4.502 4.502 4.502 Å, 60.00 60.00 60.00°
Positions (direct):
Lu 0.000 0.000 0.000
Mg 0.750 0.750 0.750
Fe 0.250 0.250 0.250
As 0.500 0.500 0.500

Computed properties:
Space group: F-43m (216)

---

Here is a relaxed structure of Tm5Hg2Bi from OQMD. Energies are from PBE-GGA.

Cell: 8.709 8.709 8.709 Å, 124.08 124.08 83.07°
Positions (direct):
Tm 0.000 0.000 0.000
Tm 0.005 0.505 0.803
Tm 0.202 0.005 0.500
Tm 0.298 0.798 0.803
Tm 0.495 0.298 0.500
Tm 0.500 0.500 0.000
Tm 0.505 0.702 0.500
Tm 0.702 0.202 0.197
Tm 0.798 0.995 0.500
Tm 0.995 0.495 0.197
Hg 0.142 0.358 0.500
Hg 0.358 0.858 0.216
Hg 0.642 0.142 0.784
Hg 0.858 0.642 0.500
Bi 0.250 0.250 0.000
Bi 0.750 0.750 0.000

Computed properties:
Space group: I4/mcm (140)

---

Here is a relaxed structure of SrLaAuS3 from OQMD. Energies are from PBE-GGA.

Cell: 11.592 4.227 11.712 Å, 90.00 90.00 90.00°
Positions (direct):
Sr 0.182 0.250 0.006
Sr 0.318 0.750 0.506
Sr 0.682 0.250 0.494
Sr 0.818 0.750 0.994
La 0.011 0.250 0.321
La 0.489 0.750 0.821
La 0.511 0.250 0.179
La 0.989 0.750 0.679
Au 0.228 0.750 0.238
Au 0.272 0.250 0.738
Au 0.728 0.750 0.262
Au 0.772 0.250 0.762
S 0.040 0.750 0.141
S 0.112 0.250 0.557
S 0.204 0.750 0.820
S 0.296 0.250 0.320
S 0.388 0.750 0.057
S 0.460 0.250 0.641
S 0.540 0.750 0.359
S 0.612 0.250 0.943
S 0.704 0.750 0.680
S 0.796 0.250 0.180
S 0.888 0.750 0.443
S 0.960 0.250 0.859

Computed properties:
Space group: Pnma (62)

---

Here is a relaxed structure of KTmPdSe5 from OQMD. Energies are from PBE-GGA.

Cell: 5.599 8.748 10.286 Å, 90.00 91.92 90.00°
Positions (direct):
K 0.126 0.250 0.075
K 0.874 0.750 0.925
Tm 0.495 0.250 0.680
Tm 0.505 0.750 0.320
Pd 0.000 0.000 0.500
Pd 0.000 0.500 0.500
Se 0.020 0.750 0.382
Se 0.278 0.547 0.686
Se 0.278 0.953 0.686
Se 0.385 0.750 0.077
Se 0.454 0.250 0.373
Se 0.546 0.750 0.627
Se 0.615 0.250 0.923
Se 0.722 0.047 0.314
Se 0.722 0.453 0.314
Se 0.980 0.250 0.618

Computed properties:
Space group: P2_1/m (11)

---

Here is a relaxed structure of Cs2LiIrCl6 from OQMD. Energies are from PBE-GGA.

Cell: 7.133 7.133 7.133 Å, 60.00 60.00 60.00°
Positions (direct):
Cs 0.250 0.250 0.250
Cs 0.750 0.750 0.750
Li 0.000 0.000 0.000
Ir 0.500 0.500 0.500
Cl 0.264 0.264 0.736
Cl 0.264 0.736 0.264
Cl 0.264 0.736 0.736
Cl 0.736 0.264 0.264
Cl 0.736 0.264 0.736
Cl 0.736 0.736 0.264

Computed properties:
Space group: Fm-3m (225)

---

Here is a relaxed structure of LiCd2Ag from OQMD. Energies are from PBE-GGA.

Cell: 4.624 4.624 8.568 Å, 90.00 90.00 119.89°
Positions (direct):
Li 0.000 0.000 0.250
Li 0.000 0.000 0.750
Cd 0.333 0.667 0.581
Cd 0.333 0.667 0.919
Cd 0.667 0.333 0.081
Cd 0.667 0.333 0.419
Ag 0.334 0.666 0.250
Ag 0.666 0.334 0.750

Computed properties:
Space group: Cmcm (63)

---

Here is a relaxed structure of KDyTmNi2 from OQMD. Energies are from PBE-GGA.

Cell: 3.663 9.110 9.110 Å, 25.65 90.00 90.00°
Positions (direct):
K 0.000 0.000 0.000
Dy 0.500 0.328 0.328
Tm 0.500 0.670 0.670
Ni 0.000 0.204 0.204
Ni 0.000 0.790 0.790

Computed properties:
Space group: Amm2 (38)

---

Here is a relaxed structure of PmHgAsO from OQMD. Energies are from PBE-GGA.

Cell: 4.505 6.727 6.255 Å, 90.00 90.00 90.00°
Positions (direct):
Pm 0.000 0.236 0.000
Pm 0.000 0.764 0.500
Hg 0.500 0.350 0.590
Hg 0.500 0.650 0.090
As 0.000 0.206 0.488
As 0.000 0.794 0.988
O 0.500 0.300 0.005
O 0.500 0.700 0.505

Computed properties:
Space group: Pmc2_1 (26)

---

E / eV per atom: -5.34; -6.71; -7.73; -5.35; -3.27; -8.56; -6.34; -1.64; -7.23; -4.73; -3.85; -5.29; -4.33; -3.69; -1.80; -4.43; -4.92